Here is a geometry-optimized Sb4AsPt structure from Alexandria. Energies are from PBE.

Unit cell a=6.0511 b=6.0511 c=6.0511 alpha=60.00 beta=60.00 gamma=60.00
Closest atoms and distances in Å follow each position.
Sites, in units of the cell vectors:
Sb 0.3755 0.3755 0.3755  6 Sb 3.01-3.04
Sb 0.3755 0.3755 0.8735  6 Sb 3.01-3.04
Sb 0.3755 0.8735 0.3755  6 Sb 3.01-3.04
Sb 0.8735 0.3755 0.3755  6 Sb 3.01-3.04
As 0.0000 0.0000 0.0000  12 Sb 3.55, 4 Pt 3.71
Pt 0.7500 0.7500 0.7500  12 Sb 3.55, 4 As 3.71

Properties
ΔE_f (raw): 0.776 eV per atom
total energy: -3.7543 eV/atom
calculated density: 8.024 g/cm³

=====

Here is a geometry-optimized SbAsPt structure from Alexandria. Energies are from PBE.

Unit cell a=6.3969 b=6.3969 c=6.3969 alpha=152.64 beta=148.14 gamma=42.48
Closest atoms and distances in Å follow each position.
Sites, in units of the cell vectors:
Sb 0.0000 0.0000 0.0000  4 Pt 2.95, 2 Sb 3.03, 1 As 3.21
As 0.7307 0.7307 0.0000  4 Pt 2.70
Pt 0.3468 0.3468 0.0000  4 As 2.70, 4 Sb 2.95

Properties
ΔE to the lowest computed polymorph: 416 meV/atom
ΔE_f (raw): -0.056 eV per atom
total energy: -4.9940 eV/atom
calculated density: 10.270 g/cm³

=====

> What is the calculated density in the first record?

8.024 g/cm³